Sr2MnOsO8 (PBE+U, relaxed); raw total energy = -0.2497 Ha/atom; space-group type = P-1 (2)
1.0
-4.725 -3.775 1.865
3.794 -2.771 -2.292
1.038 -0.605 5.766
Sr Mn Os O
2 1 1 8
Cartesian
-0.983 -3.891 4.247
1.090 -3.261 1.091
0.519 -0.303 2.883
0.000 0.000 0.000
2.883 -2.495 -0.628
-0.278 -4.840 -0.338
-3.300 -4.411 3.030
-2.776 -4.657 5.967
0.386 -2.311 5.677
3.407 -2.741 2.309
0.397 -5.170 2.488
-0.289 -1.981 2.850